No. 1
Computed, not measured: an optimized crystal structure of TlCdIn2 at the GGA-PBEsol level of DFT.

a = 3.4025 Å, b = 5.3984 Å, c = 5.9223 Å
α = 105.25°, β = 106.69°, γ = 90.00°
Fractional coordinates of all 4 atoms:
Tl: 0.5000 0.0000 0.0000
In: 0.2612 0.2583 0.5225
In: 0.7388 0.7417 0.4775
Cd: 0.0000 0.5000 0.0000

## Properties
**Energy of formation from the pure elements**: 0.038 eV/atom
**Symmetry**: C2/m, No. 12
**DOS at the Fermi energy**: 0.45 states/eV per atom

***

No. 2
Computed, not measured: an optimized crystal structure of TlCdIn2 at the GGA-PBEsol level of DFT.

a = 3.2826 Å, b = 6.1469 Å, c = 5.2980 Å
α = 97.66°, β = 108.05°, γ = 90.00°
Fractional coordinates of all 4 atoms:
Tl: 0.4966 0.4934 0.9931
In: 0.0032 0.0059 0.0063
In: 0.2526 0.7594 0.5053
Cd: 0.7476 0.2413 0.4953

## Properties
**Energy of formation from the pure elements**: 0.046 eV/atom
**Symmetry**: Cm, No. 8
**DOS at the Fermi energy**: 0.45 states/eV per atom

***

No. 3
Computed, not measured: an optimized crystal structure of TlCdIn2 at the GGA-PBEsol level of DFT.

a = 3.2739 Å, b = 3.2739 Å, c = 10.9305 Å
α = 81.39°, β = 81.39°, γ = 60.00°
Fractional coordinates of all 4 atoms:
Tl: 0.5000 0.5000 0.5000
In: 0.2546 0.2546 0.2363
In: 0.7454 0.7454 0.7637
Cd: 0.0000 0.0000 0.0000

## Properties
**Energy of formation from the pure elements**: 0.026 eV/atom
**Symmetry**: R-3m, No. 166
**DOS at the Fermi energy**: 0.43 states/eV per atom